KNa2NiF5: optimized geometry, PBE+U.

Output
DFT total energy (eV per cell): -38.76
Space-group type: Immm (71)

a = 6.545 Å, b = 6.545 Å, c = 6.545 Å
α = 144.88°, β = 127.13°, γ = 65.06°
Element x y z (fractional)
K 0.000 0.000 0.000
Na 0.286 0.786 0.500
Na 0.714 0.214 0.500
Ni 0.500 0.500 0.000
F 0.128 0.365 0.763
F 0.398 0.635 0.763
F 0.500 0.000 0.500
F 0.602 0.365 0.237
F 0.872 0.635 0.237